NaGaP2O, optimized geometry, DFT GGA-PBE; DFT total energy = -15.1 eV/cell; energy relative to the lowest polymorph listed for this composition = 870 meV/atom; crystal system = tetragonal; formation energy without anion corrections = 1.014 eV per atom
1.0
4.9693 0.0000 0.0000
0.0000 4.9693 0.0000
0.0000 0.0000 3.9936
Na Ga P O
1 1 2 1
direct
0.0000 0.0000 0.0000
0.5000 0.5000 0.5000
0.0000 0.5000 0.0000
0.5000 0.0000 0.0000
0.0000 0.0000 0.5000

---

NaGa2PO6, optimized geometry, DFT GGA-PBE; DFT total energy = -125.6 eV/cell; crystal system = monoclinic; formation energy without anion corrections = -2.027 eV per atom
1.0
4.4403 -5.5283 0.0000
4.4403 5.5283 0.0000
-2.3794 0.0000 5.2173
Na Ga P O
2 4 2 12
direct
0.0991 0.9009 0.7500
0.9009 0.0991 0.2500
0.2872 0.4503 0.8484
0.4503 0.2872 0.3484
0.5497 0.7128 0.6516
0.7128 0.5497 0.1516
0.1878 0.8122 0.2500
0.8122 0.1878 0.7500
0.0237 0.2273 0.7075
0.1736 0.6527 0.9998
0.2273 0.0237 0.2075
0.3128 0.4357 0.5259
0.3473 0.8264 0.5002
0.4357 0.3128 0.0259
0.5643 0.6872 0.9741
0.6527 0.1736 0.4998
0.6872 0.5643 0.4741
0.7727 0.9763 0.7925
0.8264 0.3473 0.0002
0.9763 0.7727 0.2925

---

NaGaPO2, optimized geometry, DFT GGA-PBE; DFT total energy = -21.0 eV/cell; energy relative to the lowest polymorph listed for this composition = 0 meV/atom; crystal system = tetragonal; formation energy without anion corrections = -0.273 eV per atom
1.0
3.9642 0.0000 0.0000
0.0000 3.9642 0.0000
0.0000 0.0000 4.9497
Na Ga P O
1 1 1 2
direct
0.0000 0.0000 0.0000
0.5000 0.5000 0.5000
0.5000 0.5000 0.0000
0.0000 0.5000 0.5000
0.5000 0.0000 0.5000

---

NaGaP2O, optimized geometry, DFT GGA-PBE; DFT total energy = -19.4 eV/cell; energy relative to the lowest polymorph listed for this composition = 0 meV/atom; crystal system = tetragonal; formation energy without anion corrections = 0.144 eV per atom
1.0
5.1629 0.0000 0.0000
0.0000 5.1629 0.0000
0.0000 0.0000 3.5673
Na Ga P O
1 1 2 1
direct
0.0000 0.0000 0.0000
0.5000 0.5000 0.5000
0.0000 0.5000 0.5000
0.5000 0.0000 0.5000
0.5000 0.5000 0.0000

---

NaGaPO2, optimized geometry, DFT GGA-PBE; DFT total energy = -16.4 eV/cell; energy relative to the lowest polymorph listed for this composition = 928 meV/atom; crystal system = tetragonal; formation energy without anion corrections = 0.654 eV per atom
1.0
4.0875 0.0000 0.0000
0.0000 4.0875 0.0000
0.0000 0.0000 5.3304
Na Ga P O
1 1 1 2
direct
0.0000 0.0000 0.0000
0.5000 0.5000 0.5000
0.0000 0.0000 0.5000
0.0000 0.5000 0.0000
0.5000 0.0000 0.0000

---

Na2PaGaO6, optimized geometry, DFT GGA-PBE; DFT total energy = -65.4 eV/cell; crystal system = trigonal; formation energy without anion corrections = -2.053 eV per atom
1.0
2.8514 1.6463 4.7140
-2.8514 1.6463 4.7140
0.0000 -3.2925 4.7140
Na Pa Ga O
2 1 1 6
direct
0.0000 0.0000 0.0000
0.4950 0.4950 0.4950
0.2470 0.2470 0.2470
0.7470 0.7470 0.7470
0.0558 0.5049 0.9197
0.4381 0.9882 0.5742
0.5049 0.9197 0.0558
0.5742 0.4381 0.9882
0.9197 0.0558 0.5049
0.9882 0.5742 0.4381

---

Na2GaPbO4, optimized geometry, DFT GGA-PBE; DFT total energy = -81.9 eV/cell; crystal system = tetragonal; formation energy without anion corrections = -1.466 eV per atom
1.0
5.3286 0.0000 0.0000
0.0000 5.3286 0.0000
0.0000 0.0000 9.0666
Na Ga Pb O
4 2 2 8
direct
0.0000 0.0000 0.0000
0.0000 0.5000 0.2500
0.5000 0.0000 0.7500
0.5000 0.5000 0.5000
0.0000 0.5000 0.7500
0.5000 0.0000 0.2500
0.0000 0.0000 0.5000
0.5000 0.5000 0.0000
0.2042 0.2817 0.6386
0.2183 0.7042 0.8614
0.2817 0.7958 0.3614
0.2958 0.2183 0.1386
0.7042 0.7817 0.1386
0.7183 0.2042 0.3614
0.7817 0.2958 0.8614
0.7958 0.7183 0.6386

---

Na4GaPd3O8, optimized geometry, DFT GGA-PBE; DFT total energy = -81.0 eV/cell; crystal system = monoclinic; formation energy without anion corrections = -1.089 eV per atom
1.0
5.8673 -3.0360 0.0000
5.8673 3.0360 0.0000
-3.2142 0.0000 5.3910
Na Ga Pd O
4 1 3 8
direct
0.0000 0.0000 0.0000
0.0000 0.5000 0.5000
0.5000 0.0000 0.5000
0.5000 0.5000 0.0000
0.0000 0.0000 0.5000
0.0000 0.5000 0.0000
0.5000 0.0000 0.0000
0.5000 0.5000 0.5000
0.2107 0.2107 0.7497
0.2260 0.7359 0.6944
0.2641 0.7740 0.3056
0.2972 0.2972 0.2534
0.7028 0.7028 0.7466
0.7359 0.2260 0.6944
0.7740 0.2641 0.3056
0.7893 0.7893 0.2503

---

Na2GaPdO, optimized geometry, DFT GGA-PBE; DFT total energy = -13.7 eV/cell; crystal system = tetragonal; formation energy without anion corrections = 0.429 eV per atom
1.0
5.4906 0.0000 0.0000
0.0000 5.4906 0.0000
0.0000 0.0000 4.5656
Na Ga Pd O
2 1 1 1
direct
0.0000 0.5000 0.0000
0.5000 0.0000 0.0000
0.0000 0.0000 0.0000
0.0000 0.0000 0.5000
0.5000 0.5000 0.5000

---

NaGaPd2O, optimized geometry, DFT GGA-PBE; DFT total energy = -13.1 eV/cell; crystal system = tetragonal; formation energy without anion corrections = 1.314 eV per atom
1.0
4.7019 0.0000 0.0000
0.0000 4.7019 0.0000
0.0000 0.0000 4.9688
Na Ga Pd O
1 1 2 1
direct
0.0000 0.0000 0.0000
0.0000 0.0000 0.5000
0.0000 0.5000 0.0000
0.5000 0.0000 0.0000
0.5000 0.5000 0.5000

---

Na2GaPdO4, optimized geometry, DFT GGA-PBE; DFT total energy = -41.2 eV/cell; crystal system = monoclinic; formation energy without anion corrections = -1.311 eV per atom
1.0
5.5980 0.0000 0.0000
0.0000 3.0402 0.0000
-2.0573 0.0000 5.3585
Na Ga Pd O
2 1 1 4
direct
0.0000 0.0000 0.0000
0.5000 0.5000 0.0000
0.0000 0.5000 0.5000
0.5000 0.0000 0.5000
0.2090 0.0000 0.7123
0.2565 0.5000 0.3081
0.7435 0.5000 0.6919
0.7910 0.0000 0.2877

---

Na3GaPd2O6, optimized geometry, DFT GGA-PBE; DFT total energy = -60.9 eV/cell; crystal system = monoclinic; formation energy without anion corrections = -1.151 eV per atom
1.0
2.8434 -4.5895 0.0000
2.8434 4.5895 0.0000
-2.1112 0.0000 5.3303
Na Ga Pd O
3 1 2 6
direct
0.0000 0.0000 0.0000
0.3292 0.6708 0.0000
0.6708 0.3292 0.0000
0.5000 0.5000 0.5000
0.1681 0.8319 0.5000
0.8319 0.1681 0.5000
0.1259 0.4496 0.2906
0.2374 0.2374 0.6992
0.4496 0.1259 0.2906
0.5504 0.8741 0.7094
0.7627 0.7627 0.3008
0.8741 0.5504 0.7094

---

Na3Pm3GaO8, optimized geometry, DFT GGA-PBE; DFT total energy = -95.6 eV/cell; crystal system = trigonal; formation energy without anion corrections = -2.313 eV per atom
1.0
3.4652 2.0006 5.5406
-3.4652 2.0006 5.5406
0.0000 -4.0012 5.5406
Na Pm Ga O
3 3 1 8
direct
0.0000 0.5000 0.5000
0.5000 0.0000 0.5000
0.5000 0.5000 0.0000
0.0000 0.0000 0.5000
0.0000 0.5000 0.0000
0.5000 0.0000 0.0000
0.5000 0.5000 0.5000
0.2386 0.2386 0.2386
0.2703 0.7144 0.7144
0.2856 0.2856 0.7297
0.2856 0.7297 0.2856
0.7144 0.2703 0.7144
0.7144 0.7144 0.2703
0.7297 0.2856 0.2856
0.7614 0.7614 0.7614

---

NaPm2GaO5, optimized geometry, DFT GGA-PBE; DFT total energy = -122.5 eV/cell; crystal system = tetragonal; formation energy without anion corrections = -2.514 eV per atom
1.0
6.6805 0.0000 0.0000
0.0000 6.6805 0.0000
0.0000 0.0000 5.7773
Na Pm Ga O
2 4 2 10
direct
0.0000 0.0000 0.0000
0.5000 0.5000 0.0000
0.1780 0.3220 0.5000
0.3220 0.8220 0.5000
0.6780 0.1780 0.5000
0.8220 0.6780 0.5000
0.0000 0.5000 0.0000
0.5000 0.0000 0.0000
0.0000 0.0000 0.5000
0.1362 0.6362 0.2397
0.1362 0.6362 0.7603
0.3638 0.1362 0.2397
0.3638 0.1362 0.7603
0.5000 0.5000 0.5000
0.6362 0.8638 0.2397
0.6362 0.8638 0.7603
0.8638 0.3638 0.2397
0.8638 0.3638 0.7603

---

Na2PrGaO4, optimized geometry, DFT GGA-PBE; DFT total energy = -90.8 eV/cell; crystal system = orthorhombic; formation energy without anion corrections = -1.892 eV per atom
1.0
1.7034 -5.7576 0.0000
1.7034 5.7576 0.0000
0.0000 0.0000 11.1598
Na Pr Ga O
4 2 2 8
direct
0.1243 0.8757 0.5343
0.1243 0.8757 0.9657
0.8757 0.1243 0.0343
0.8757 0.1243 0.4657
0.3963 0.6037 0.7500
0.6037 0.3963 0.2500
0.3346 0.6654 0.2500
0.6654 0.3346 0.7500
0.0756 0.9244 0.7500
0.2171 0.7829 0.1367
0.2171 0.7829 0.3633
0.5000 0.5000 0.0000
0.5000 0.5000 0.5000
0.7829 0.2171 0.6367
0.7829 0.2171 0.8633
0.9244 0.0756 0.2500

---

Na3GaPt3O8, optimized geometry, DFT GGA-PBE; DFT total energy = -80.3 eV/cell; crystal system = monoclinic; formation energy without anion corrections = -1.037 eV per atom
1.0
5.7518 -3.0610 0.0000
5.7518 3.0610 0.0000
-2.9524 0.0000 5.5146
Na Ga Pt O
3 1 3 8
direct
0.0000 0.0000 0.0000
0.0000 0.5000 0.0000
0.5000 0.0000 0.0000
0.0000 0.0000 0.5000
0.0000 0.5000 0.5000
0.5000 0.0000 0.5000
0.5000 0.5000 0.5000
0.2069 0.7060 0.6624
0.2174 0.2174 0.2569
0.2186 0.2186 0.6907
0.2940 0.7931 0.3376
0.7060 0.2069 0.6624
0.7814 0.7814 0.3093
0.7826 0.7826 0.7431
0.7931 0.2940 0.3376

---

NaGaPtO4, optimized geometry, DFT GGA-PBE; DFT total energy = -78.8 eV/cell; crystal system = orthorhombic; formation energy without anion corrections = -1.310 eV per atom
1.0
-3.0350 3.1908 4.4438
3.0350 -3.1908 4.4438
3.0350 3.1908 -4.4438
Na Ga Pt O
2 2 2 8
direct
0.3890 0.1390 0.2500
0.6110 0.8610 0.7500
0.0000 0.0000 0.5000
0.0000 0.5000 0.0000
0.0000 0.5000 0.5000
0.5000 0.5000 0.0000
0.1890 0.7302 0.4588
0.2287 0.2698 0.9588
0.2317 0.2679 0.5361
0.2317 0.6956 0.9639
0.7683 0.3044 0.0361
0.7683 0.7321 0.4639
0.7713 0.7302 0.0412
0.8110 0.2698 0.5412

---

NaGaPtO6, optimized geometry, DFT GGA-PBE; DFT total energy = -92.4 eV/cell; crystal system = trigonal; formation energy without anion corrections = -0.676 eV per atom
1.0
5.1964 0.0000 0.0000
-2.5982 4.5002 0.0000
0.0000 0.0000 10.1870
Na Ga Pt O
2 2 2 12
direct
0.0000 0.0000 0.0000
0.0000 0.0000 0.5000
0.3333 0.6667 0.2500
0.6667 0.3333 0.7500
0.3333 0.6667 0.7500
0.6667 0.3333 0.2500
0.0081 0.3717 0.6456
0.0081 0.6364 0.8544
0.3636 0.3717 0.8544
0.3636 0.9919 0.6456
0.3717 0.0081 0.1456
0.3717 0.3636 0.3544
0.6283 0.6364 0.6456
0.6283 0.9919 0.8544
0.6364 0.0081 0.3544
0.6364 0.6283 0.1456
0.9919 0.3636 0.1456
0.9919 0.6283 0.3544

---

NaPuGaO4, optimized geometry, DFT GGA-PBE; DFT total energy = -108.1 eV/cell; crystal system = orthorhombic; formation energy without anion corrections = -2.221 eV per atom
1.0
-3.0570 3.4836 4.6143
3.0570 -3.4836 4.6143
3.0570 3.4836 -4.6143
Na Pu Ga O
2 2 2 8
direct
0.3899 0.1399 0.2500
0.6101 0.8601 0.7500
0.0000 0.5000 0.5000
0.5000 0.5000 0.0000
0.0000 0.0000 0.5000
0.0000 0.5000 0.0000
0.1859 0.7429 0.4430
0.2001 0.2571 0.9430
0.2339 0.2612 0.5273
0.2339 0.7066 0.9727
0.7661 0.2934 0.0273
0.7661 0.7388 0.4727
0.7999 0.7429 0.0570
0.8141 0.2571 0.5570

---

NaPu2GaO8, optimized geometry, DFT GGA-PBE; DFT total energy = -99.5 eV/cell; crystal system = orthorhombic; formation energy without anion corrections = -2.233 eV per atom
1.0
3.3168 -3.4444 0.0000
3.3168 3.4444 0.0000
0.0000 0.0000 6.8341
Na Pu Ga O
1 2 1 8
direct
0.0000 0.0000 0.0000
0.5000 0.5000 0.2541
0.5000 0.5000 0.7459
0.0000 0.0000 0.5000
0.2067 0.2067 0.2782
0.2067 0.2067 0.7218
0.2946 0.7054 0.5000
0.3238 0.6762 0.0000
0.6762 0.3238 0.0000
0.7054 0.2946 0.5000
0.7933 0.7933 0.2782
0.7933 0.7933 0.7218